1.
First-principles (PBE-GGA) data for crystalline ErTh2Te5 at its relaxed geometry, as listed in Alexandria.

a = 5.164 Å, b = 7.402 Å, c = 7.402 Å
α = 90.00°, β = 90.00°, γ = 90.00°
Fractional coordinates of all 8 atoms:
Th  0.500  0.000  0.500
Th  0.500  0.500  0.000
Te  0.500  0.000  0.000
Te  0.000  0.721  0.279
Te  0.000  0.279  0.279
Te  0.000  0.721  0.721
Te  0.000  0.279  0.721
Er  0.000  0.000  0.000

Raw formation energy ... -0.38 eV per atom
ρ ... 7.45 g cm⁻³
Energy above the lowest structure with this stoichiometry ... 6.16 eV per formula unit



2.
First-principles (PBE-GGA) data for crystalline Zn2SiNi3 at its relaxed geometry, as listed in Alexandria.

a = 3.947 Å, b = 6.256 Å, c = 6.058 Å
α = 90.00°, β = 90.00°, γ = 71.61°
Fractional coordinates of all 12 atoms:
Ni  0.825  0.350  0.221
Ni  0.825  0.350  0.779
Ni  0.500  0.000  0.240
Ni  0.175  0.650  0.221
Ni  0.500  0.000  0.760
Ni  0.175  0.650  0.779
Si  0.659  0.681  0.000
Si  0.341  0.319  0.000
Zn  0.333  0.333  0.500
Zn  0.000  0.000  0.500
Zn  0.667  0.667  0.500
Zn  0.000  0.000  0.000

Raw formation energy ... -0.36 eV per atom
ρ ... 7.84 g cm⁻³



3.
First-principles (PBE-GGA) data for crystalline Na3YU3S8 at its relaxed geometry, as listed in Alexandria.

a = 7.952 Å, b = 7.952 Å, c = 8.158 Å
α = 119.18°, β = 90.00°, γ = 120.00°
Fractional coordinates of all 15 atoms:
U  0.000  0.500  0.500
U  0.500  0.500  0.500
U  0.500  0.000  0.500
Na  0.000  0.500  0.000
Na  0.000  0.000  0.000
Na  0.500  0.500  0.000
S  0.759  0.018  0.277
S  0.743  0.486  0.729
S  0.241  0.982  0.723
S  0.257  0.514  0.271
S  0.740  0.982  0.723
S  0.759  0.517  0.277
S  0.241  0.483  0.723
S  0.260  0.018  0.277
Y  0.000  0.000  0.500

Raw formation energy ... -1.48 eV per atom
ρ ... 5.07 g cm⁻³



4.
First-principles (PBE-GGA) data for crystalline La2Nd2Tm2In at its relaxed geometry, as listed in Alexandria.

a = 3.730 Å, b = 6.500 Å, c = 11.625 Å
α = 117.90°, β = 90.00°, γ = 106.68°
Fractional coordinates of all 7 atoms:
Nd  0.516  0.032  0.740
Nd  0.484  0.968  0.260
In  0.000  0.000  0.500
La  0.683  0.367  0.092
La  0.317  0.633  0.908
Tm  0.266  0.531  0.388
Tm  0.734  0.469  0.612

ρ ... 7.18 g cm⁻³
ΔH_f (0 K) ... -0.31 eV/f.u.



5.
First-principles (PBE-GGA) data for crystalline CaYCd at its relaxed geometry, as listed in Alexandria.

a = 5.342 Å, b = 5.342 Å, c = 3.666 Å
α = 90.00°, β = 90.00°, γ = 120.00°
Fractional coordinates of all 3 atoms:
Ca  0.000  0.000  0.057
Cd  0.667  0.333  0.328
Y  0.333  0.667  0.615

ρ ... 4.42 g cm⁻³
Energy above the lowest structure with this stoichiometry ... 0.38 eV per formula unit
ΔH_f (0 K) ... -0.17 eV/f.u.



6.
First-principles (PBE-GGA) data for crystalline P2HBr2 at its relaxed geometry, as listed in Alexandria.

a = 5.429 Å, b = 5.429 Å, c = 5.069 Å
α = 57.62°, β = 57.62°, γ = 90.00°
Fractional coordinates of all 5 atoms:
P  0.736  0.736  0.528
P  0.264  0.264  0.472
H  0.000  0.000  0.000
Br  0.250  0.750  0.500
Br  0.750  0.250  0.500

ρ ... 3.79 g cm⁻³
Energy above the lowest structure with this stoichiometry ... 0.00 eV per formula unit